No. 1
# SrLiNiGe2 | Alexandria via LeMat-Bulk | PBE | optimized geometry
# Mass density = 4.8 g/cm³
# Total moment = 0.0 μB per cell
# Energy of formation from the pure elements = -0.30 eV per atom
# E above lowest polymorph = 0.699 eV/f.u.
# Crystal system = tetragonal
# Electronic total energy = -20.107 eV for the cell shown
data_SrLiNiGe2
_cell_length_a 4.645
_cell_length_b 4.645
_cell_length_c 4.744
_cell_angle_alpha 90.00
_cell_angle_beta 90.00
_cell_angle_gamma 90.00
_symmetry_space_group_name_H-M 'P 4/m m m'
_symmetry_Int_Tables_number 123
_symmetry_space_group_name_Hall '-P 4 2'
loop_
_atom_site_label
_atom_site_type_symbol
_atom_site_fract_x
_atom_site_fract_y
_atom_site_fract_z
Sr1 Sr 0.000 0.000 0.000
Li1 Li 0.500 0.500 0.000
Ni1 Ni 0.500 0.500 0.500
Ge1 Ge 0.000 0.500 0.500

---

No. 2
# HoThIrPt | Alexandria via LeMat-Bulk | PBE | optimized geometry
# Mass density = 13.4 g/cm³
# Total moment = 0.0 μB per cell
# Energy of formation from the pure elements = -1.03 eV per atom
# E above lowest polymorph = 0.000 eV/f.u.
# Crystal system = tetragonal
# Electronic total energy = -31.008 eV for the cell shown
data_HoThIrPt
_cell_length_a 4.079
_cell_length_b 4.079
_cell_length_c 5.827
_cell_angle_alpha 90.00
_cell_angle_beta 90.00
_cell_angle_gamma 90.00
_symmetry_space_group_name_H-M 'P 4 m m'
_symmetry_Int_Tables_number 99
_symmetry_space_group_name_Hall 'P 4 -2'
loop_
_atom_site_label
_atom_site_type_symbol
_atom_site_fract_x
_atom_site_fract_y
_atom_site_fract_z
Ho1 Ho 0.000 0.000 0.000
Th1 Th 0.500 0.500 0.498
Ir1 Ir 0.000 0.000 0.500
Pt1 Pt 0.500 0.500 0.998

---

No. 3
# Ac3SiSn2 | Alexandria via LeMat-Bulk | PBE | optimized geometry
# Mass density = 7.7 g/cm³
# Total moment = 2.1 μB per cell
# E above lowest polymorph = 0.000 eV/f.u.
# Crystal system = orthorhombic
# Uncorrected formation energy = -0.591 eV per atom
# Electronic total energy = -117.196 eV for the cell shown
data_Ac3SiSn2
_cell_length_a 13.319
_cell_length_b 4.643
_cell_length_c 13.148
_cell_angle_alpha 90.00
_cell_angle_beta 90.00
_cell_angle_gamma 90.00
_symmetry_space_group_name_H-M 'P n m a'
_symmetry_Int_Tables_number 62
_symmetry_space_group_name_Hall '-P 2ac 2n'
loop_
_atom_site_label
_atom_site_type_symbol
_atom_site_fract_x
_atom_site_fract_y
_atom_site_fract_z
Ac1 Ac 0.059 0.250 0.121
Ac2 Ac 0.114 0.750 0.549
Ac3 Ac 0.224 0.250 0.788
Si1 Si 0.126 0.250 0.368
Sn1 Sn 0.012 0.750 0.305
Sn2 Sn 0.195 0.750 0.992

---

No. 4
# LiPrLuIr | Alexandria via LeMat-Bulk | PBE | optimized geometry
# Mass density = 9.8 g/cm³
# Total moment = 0.0 μB per cell
# Energy of formation from the pure elements = -0.49 eV per atom
# Crystal system = cubic
# Electronic total energy = -88.128 eV for the cell shown
data_LiPrLuIr
_cell_length_a 7.036
_cell_length_b 7.036
_cell_length_c 7.036
_cell_angle_alpha 90.00
_cell_angle_beta 90.00
_cell_angle_gamma 90.00
_symmetry_space_group_name_H-M 'F -4 3 m'
_symmetry_Int_Tables_number 216
_symmetry_space_group_name_Hall 'F -4 2 3'
loop_
_atom_site_label
_atom_site_type_symbol
_atom_site_fract_x
_atom_site_fract_y
_atom_site_fract_z
Li1 Li 0.000 0.000 0.000
Pr1 Pr 0.250 0.250 0.750
Lu1 Lu 0.250 0.250 0.250
Ir1 Ir 0.000 0.000 0.500

---

No. 5
# AcPr3Ho2 | Alexandria via LeMat-Bulk | PBE | optimized geometry
# Mass density = 7.6 g/cm³
# Total moment = 0.0 μB per cell
# Energy of formation from the pure elements = 0.06 eV per atom
# E above lowest polymorph = 0.000 eV/f.u.
# Crystal system = monoclinic
# Electronic total energy = -108.986 eV for the cell shown
data_AcPr3Ho2
_cell_length_a 11.667
_cell_length_b 7.244
_cell_length_c 11.646
_cell_angle_alpha 90.00
_cell_angle_beta 119.87
_cell_angle_gamma 90.00
_symmetry_space_group_name_H-M 'C 1 2/c 1'
_symmetry_Int_Tables_number 15
_symmetry_space_group_name_Hall '-C 2yc'
loop_
_atom_site_label
_atom_site_type_symbol
_atom_site_fract_x
_atom_site_fract_y
_atom_site_fract_z
Ac1 Ac 0.000 0.004 0.250
Pr1 Pr 0.000 0.497 0.250
Pr2 Pr 0.167 0.253 0.083
Ho1 Ho 0.167 0.250 0.582

---

No. 6
# NbCr3Cu2S8 | Alexandria via LeMat-Bulk | PBE | optimized geometry
# Mass density = 3.7 g/cm³
# Total moment = 18.1 μB per cell
# E above lowest polymorph = 3.022 eV/f.u.
# Crystal system = triclinic
# Uncorrected formation energy = -0.477 eV per atom
# Electronic total energy = -173.662 eV for the cell shown
data_NbCr3Cu2S8
_cell_length_a 6.256
_cell_length_b 7.244
_cell_length_c 12.854
_cell_angle_alpha 97.78
_cell_angle_beta 94.75
_cell_angle_gamma 90.14
_symmetry_space_group_name_H-M 'P 1'
_symmetry_Int_Tables_number 1
_symmetry_space_group_name_Hall 'P 1'
loop_
_atom_site_label
_atom_site_type_symbol
_atom_site_fract_x
_atom_site_fract_y
_atom_site_fract_z
Nb1 Nb 0.000 0.000 0.000
Nb2 Nb 0.345 0.584 0.285
Cr1 Cr 0.299 0.410 0.569
Cr2 Cr 0.491 0.736 0.003
Cr3 Cr 0.502 0.273 0.004
Cr4 Cr 0.766 0.650 0.564
Cr5 Cr 0.773 0.155 0.559
Cr6 Cr 0.899 0.827 0.286
Cu1 Cu 0.038 0.517 0.991
Cu2 Cu 0.273 0.899 0.570
Cu3 Cu 0.413 0.083 0.287
Cu4 Cu 0.911 0.347 0.282
S1 S 0.027 0.564 0.172
S2 S 0.043 0.054 0.183
S3 S 0.241 0.862 0.388
S4 S 0.256 0.349 0.392
S5 S 0.337 0.989 0.931
S6 S 0.340 0.479 0.909
S7 S 0.460 0.168 0.632
S8 S 0.462 0.675 0.645
S9 S 0.542 0.316 0.182
S10 S 0.553 0.805 0.184
S11 S 0.740 0.612 0.385
S12 S 0.760 0.104 0.384
S13 S 0.814 0.732 0.926
S14 S 0.831 0.251 0.935
S15 S 0.938 0.919 0.627
S16 S 0.965 0.419 0.629

---

No. 7
# TlSb2Cl | Alexandria via LeMat-Bulk | PBE | optimized geometry
# Mass density = 7.4 g/cm³
# Total moment = 0.0 μB per cell
# E above lowest polymorph = 1.036 eV/f.u.
# Crystal system = cubic
# Uncorrected formation energy = -0.145 eV per atom
# Electronic total energy = -52.155 eV for the cell shown
data_TlSb2Cl
_cell_length_a 7.573
_cell_length_b 7.573
_cell_length_c 7.573
_cell_angle_alpha 90.00
_cell_angle_beta 90.00
_cell_angle_gamma 90.00
_symmetry_space_group_name_H-M 'F -4 3 m'
_symmetry_Int_Tables_number 216
_symmetry_space_group_name_Hall 'F -4 2 3'
loop_
_atom_site_label
_atom_site_type_symbol
_atom_site_fract_x
_atom_site_fract_y
_atom_site_fract_z
Tl1 Tl 0.000 0.000 0.000
Sb1 Sb 0.000 0.000 0.500
Sb2 Sb 0.250 0.250 0.250
Cl1 Cl 0.250 0.250 0.750

---

No. 8
# SrScAu3 | Alexandria via LeMat-Bulk | PBE | optimized geometry
# Mass density = 8.5 g/cm³
# Total moment = 0.0 μB per cell
# Energy of formation from the pure elements = -0.37 eV per atom
# E above lowest polymorph = 0.000 eV/f.u.
# Crystal system = cubic
# Electronic total energy = -19.692 eV for the cell shown
data_SrScAu3
_cell_length_a 5.200
_cell_length_b 5.200
_cell_length_c 5.200
_cell_angle_alpha 90.00
_cell_angle_beta 90.00
_cell_angle_gamma 90.00
_symmetry_space_group_name_H-M 'P m -3 m'
_symmetry_Int_Tables_number 221
_symmetry_space_group_name_Hall '-P 4 2 3'
loop_
_atom_site_label
_atom_site_type_symbol
_atom_site_fract_x
_atom_site_fract_y
_atom_site_fract_z
Sr1 Sr 0.000 0.000 0.000
Sc1 Sc 0.500 0.500 0.500
Au1 Au 0.000 0.500 0.500